Below is crystalline AgMo2P3O13 at its relaxed geometry, with properties calculated at the GGA+U level.

As for the energy: -6.9849 eV/atom.

Cell: 6.4939 22.7379 8.8671 Å, 90.00 126.42 90.00°
Closest atoms and distances in Å follow each position.
Space group P2_1/c (No. 14)
Symmetry-distinct sites (fractional):
Ag 0.0373 0.1320 0.2062  4 O 2.42-2.59
Mo 0.2585 0.7076 0.0364  1 O 1.71
Mo 0.4476 0.0634 0.7262  1 O 1.71
P 0.0175 0.0981 0.7990  4 O 1.52-1.62
P 0.3552 0.2036 0.5908  4 O 1.53-1.57
P 0.4728 0.5835 0.3482  4 O 1.52-1.64
O 0.0609 0.2088 0.4653  1 P 1.54
O 0.0641 0.6581 0.7947  1 P 1.52
O 0.1330 0.0573 0.7297  1 P 1.53
O 0.1875 0.5654 0.7003  1 P 1.53
O 0.1904 0.7242 0.4359  1 Mo 1.71
O 0.2405 0.1125 0.0176  2 P 1.62-1.64
O 0.2771 0.0598 0.4874  1 Mo 1.71
O 0.3271 0.6246 0.1814  1 P 1.52
O 0.3658 0.5800 0.4630  1 P 1.54
O 0.4172 0.1899 0.4480  1 P 1.57
O 0.4471 0.1531 0.7341  1 P 1.55
O 0.4846 0.0233 0.2058  1 P 1.53
O 0.4901 0.2391 0.1948  1 P 1.53